CsCd2Pb: optimized geometry, PBE.

The total magnetic moment is 0.00 μB/f.u. For the uncorrected energy, the calculation gives -1.5764 eV per atom.

a = 6.1029 Å, b = 6.1029 Å, c = 11.0687 Å
α = 74.00°, β = 74.00°, γ = 90.00°
Atoms (fractional coordinates):
Pb  0.0000  0.0000  0.0000
Pb  0.7500  0.2500  0.5000
Cs  0.5000  0.5000  0.0000
Cs  0.2500  0.7500  0.5000
Cd  0.8746  0.1250  0.2500
Cd  0.8754  0.6250  0.2500
Cd  0.3750  0.1254  0.7500
Cd  0.8750  0.1246  0.7500



SrZn4Ga3: optimized geometry, PBE.

The total magnetic moment is 0.00 μB/f.u. For the uncorrected energy, the calculation gives -2.1870 eV per atom.

a = 4.3893 Å, b = 4.3893 Å, c = 8.1926 Å
α = 90.00°, β = 90.00°, γ = 90.00°
Atoms (fractional coordinates):
Sr  0.0000  0.0000  0.5000
Zn  0.5000  0.0000  0.1766
Zn  0.0000  0.5000  0.1766
Zn  0.5000  0.0000  0.8234
Zn  0.0000  0.5000  0.8234
Ga  0.0000  0.0000  0.0000
Ga  0.5000  0.5000  0.3453
Ga  0.5000  0.5000  0.6547



SrPrNd2As4: optimized geometry, PBE.

The total magnetic moment is 0.00 μB/f.u. For the uncorrected energy, the calculation gives -5.6622 eV per atom.

a = 4.3187 Å, b = 7.5155 Å, c = 7.5050 Å
α = 70.60°, β = 90.00°, γ = 90.00°
Atoms (fractional coordinates):
Sr  0.5000  0.5000  0.0000
Pr  0.0000  0.5000  0.5000
Nd  0.0000  0.0000  0.0000
Nd  0.5000  0.0000  0.5000
As  0.0000  0.7611  0.7403
As  0.0000  0.2389  0.2597
As  0.5000  0.7559  0.2530
As  0.5000  0.2441  0.7470



SbAs3H: optimized geometry, PBE.

The total magnetic moment is 0.96 μB/f.u. The distance to the lowest polymorph of the same formula is 807.2 meV per atom. For the uncorrected energy, the calculation gives -2.8687 eV per atom.

a = 5.3628 Å, b = 5.3628 Å, c = 5.3628 Å
α = 90.00°, β = 90.00°, γ = 90.00°
Each line ends with the local moment (μB).
Atoms (fractional coordinates):
Sb  0.0000  0.0000  0.0000  0.00
As  0.0000  0.5000  0.0000  0.03
As  0.0000  0.0000  0.5000  -0.02
As  0.5000  0.0000  0.0000  0.03
H  0.5000  0.5000  0.5000  0.36



Cd2InRh: optimized geometry, PBE.

The total magnetic moment is 0.00 μB/f.u. For the uncorrected energy, the calculation gives -2.8850 eV per atom.

a = 4.0089 Å, b = 4.0089 Å, c = 10.7871 Å
α = 79.29°, β = 79.29°, γ = 90.00°
Atoms (fractional coordinates):
Cd  0.6132  0.1250  0.2500
Cd  0.1368  0.6250  0.2500
Cd  0.3750  0.3868  0.7500
Cd  0.8750  0.8632  0.7500
Rh  0.5000  0.5000  0.0000
Rh  0.2500  0.7500  0.5000
In  0.0000  0.0000  0.0000
In  0.7500  0.2500  0.5000



PaNF5: optimized geometry, PBE.

The total magnetic moment is 2.40 μB/f.u. The value obtained for the raw formation energy is -2.3614 eV/atom. For the uncorrected energy, the calculation gives -6.2439 eV per atom.

a = 5.0801 Å, b = 7.6233 Å, c = 7.6233 Å
α = 115.25°, β = 79.65°, γ = 79.65°
Each line ends with the local moment (μB).
Atoms (fractional coordinates):
Pa  0.7500  0.3804  0.6196  0.01
Pa  0.2500  0.6196  0.3804  0.01
N  0.0000  0.0000  0.0000  1.59
N  0.5000  0.0000  0.0000  1.59
F  0.8063  0.5858  0.8790  0.01
F  0.6600  0.4267  0.3164  0.00
F  0.3063  0.8790  0.5858  0.01
F  0.7500  0.2210  0.7790  0.01
F  0.8400  0.6836  0.5733  0.00
F  0.1600  0.3164  0.4267  0.00
F  0.2500  0.7790  0.2210  0.01
F  0.6937  0.1210  0.4142  0.01
F  0.3400  0.5733  0.6836  0.00
F  0.1937  0.4142  0.1210  0.01



- What is the formula in the third record?
  SrPrNd2As4



- Which of these has the highest uncorrected energy?
  CsCd2Pb